1.
Density functional theory data (PBE) for a relaxed DyEr2Pt crystal.

abc: 7.0140 9.4915 6.4587
angles: 90.00 90.00 90.00
Closest atoms and distances in Å follow each position.
Space group Pnma (No. 62)
Unique sites:
Dy (0.0245, 0.2500, 0.1294) x4  2 Pt 2.81-2.89
Er (0.1799, 0.0608, 0.6783) x8  2 Pt 2.84-2.90
Pt (0.1115, 0.7500, 0.4478) x4  2 Dy 2.81-2.89, 4 Er 2.84-2.90

Output
Fermi-level density of states in states/eV/f.u.: 4.3
E in eV per atom: -5.675
Distance to the lowest polymorph of the same formula in meV per atom: 0

=====

2.
Density functional theory data (PBE) for a relaxed Sr3La3ScSe8 crystal.

abc: 8.5757 8.5757 21.6223
angles: 90.00 90.00 120.00
Closest atoms and distances in Å follow each position.
Space group R-3m (No. 166, hexagonal axes)
Unique sites:
Sr (0.0000, 0.5000, 0.0000) x9  6 Se 3.08-3.11
La (0.0000, 0.5000, 0.5000) x9  6 Se 3.03-3.05
Sc (0.0000, 0.0000, 0.5000) x3  6 Se 2.81
Se (0.0000, 0.0000, 0.2487) x6  3 La 3.05, 3 Sr 3.08
Se (0.0232, 0.5116, 0.2414) x18  1 Sc 2.81, 2 La 3.03, 2 Sr 3.11

Output
Fermi-level density of states in states/eV/f.u.: 6.0
Formation energy without anion corrections in meV per atom: -1957
E in eV per atom: -5.559

=====

3.
Density functional theory data (PBE) for a relaxed K2BaBiF crystal.

abc: 5.3266 5.3266 5.7478
angles: 90.00 90.00 90.00
Closest atoms and distances in Å follow each position.
Space group P4/mmm (No. 123)
Unique sites:
K (0.0000, 0.5000, 0.0000) x2  2 F 2.66
Ba (0.0000, 0.0000, 0.5000) x1  2 F 2.87
Bi (0.5000, 0.5000, 0.5000) x1  4 Ba 3.77, 8 K 3.92
F (0.0000, 0.0000, 0.0000) x1  4 K 2.66, 2 Ba 2.87

Output
Formation energy without anion corrections in meV per atom: -1511
E in eV per atom: -3.485

=====

4.
Density functional theory data (PBE) for a relaxed NiMo2Rh crystal.

abc: 3.7843 3.7843 7.9023
angles: 90.00 90.00 90.00
Closest atoms and distances in Å follow each position.
Space group I4/mmm (No. 139)
Unique sites:
Ni (0.0000, 0.0000, 0.0000) x2  4 Rh 2.68, 8 Mo 2.74
Mo (0.0000, 0.5000, 0.2500) x4  4 Mo 2.68, 4 Ni 2.74, 4 Rh 2.74
Rh (0.0000, 0.0000, 0.5000) x2  4 Ni 2.68, 8 Mo 2.74

Output
Fermi-level density of states in states/eV/f.u.: 4.2
E in eV per atom: -8.765
Distance to the lowest polymorph of the same formula in meV per atom: 48

=====

5.
Density functional theory data (PBE) for a relaxed SrCoHg2Cl crystal.

abc: 6.0860 6.0860 4.1550
angles: 90.00 90.00 90.00
Closest atoms and distances in Å follow each position.
Space group P4/mmm (No. 123)
Unique sites:
Sr (0.0000, 0.0000, 0.0000) x1  8 Hg 3.68
Co (0.5000, 0.5000, 0.0000) x1  2 Cl 2.08
Hg (0.0000, 0.5000, 0.5000) x2  2 Cl 3.04
Cl (0.5000, 0.5000, 0.5000) x1  2 Co 2.08

Output
Fermi-level density of states in states/eV/f.u.: 8.4
Formation energy without anion corrections in meV per atom: 96
E in eV per atom: -2.152

=====

6.
Density functional theory data (PBE) for a relaxed Pr8Ir3AuBr4 crystal.

abc: 8.4849 8.4849 23.4592
angles: 90.00 90.00 120.00
Closest atoms and distances in Å follow each position.
Space group R-3m (No. 166, hexagonal axes)
Unique sites:
Pr (0.0000, 0.0000, 0.2322) x6  3 Ir 2.89
Pr (0.0141, 0.5070, 0.7674) x18  2 Ir 2.85, 1 Au 2.98
Ir (0.0000, 0.5000, 0.5000) x9  6 Pr 2.85-2.89
Au (0.0000, 0.0000, 0.5000) x3  6 Pr 2.98
Br (0.0000, 0.0000, 0.0000) x3  6 Pr 3.33
Br (0.0000, 0.5000, 0.0000) x9  6 Pr 3.41-3.44

Output
Fermi-level density of states in states/eV/f.u.: 8.9
Formation energy without anion corrections in meV per atom: -1069
E in eV per atom: -5.743

=====

7.
Density functional theory data (PBE) for a relaxed ErSbRh4 crystal.

abc: 4.6851 13.9829 6.7819
angles: 90.00 90.00 90.00
Closest atoms and distances in Å follow each position.
Space group Cmcm (No. 63)
Unique sites:
Er (0.0000, 0.1094, 0.2500) x4  1 Rh 2.61
Sb (0.0000, 0.3548, 0.2500) x4  6 Rh 2.53-2.65
Rh (0.0000, 0.0775, 0.7500) x4  2 Sb 2.53, 1 Er 2.61
Rh (0.0000, 0.2616, 0.5716) x8  3 Rh 2.42-2.56, 1 Sb 2.54
Rh (0.0000, 0.5000, 0.0000) x4  2 Sb 2.65

Output
Fermi-level density of states in states/eV/f.u.: 3.7
Formation energy without anion corrections in meV per atom: -299
E in eV per atom: -6.648
Distance to the lowest polymorph of the same formula in meV per atom: 120

=====

8.
Density functional theory data (PBE) for a relaxed Cs3CaU2Te6 crystal.

abc: 8.0114 13.8766 9.3056
angles: 90.00 106.65 90.00
Closest atoms and distances in Å follow each position.
Space group C2/m (No. 12)
Unique sites:
Cs (0.0000, 0.0000, 0.0000) x2  6 Te 3.79-3.87
Cs (0.0000, 0.3372, 0.0000) x4  6 Te 3.81-3.87
Ca (0.0000, 0.5000, 0.5000) x2  6 Te 3.23-3.24
U (0.0000, 0.1671, 0.5000) x4  6 Te 3.13
Te (0.2194, 0.0000, 0.6894) x4  2 U 3.13, 1 Ca 3.23
Te (0.2359, 0.3280, 0.6912) x8  2 U 3.13, 1 Ca 3.24

Output
Fermi-level density of states in states/eV/f.u.: 16.9
Formation energy without anion corrections in meV per atom: -1037
E in eV per atom: -4.869

=====

9.
Density functional theory data (PBE) for a relaxed P2PbSBr crystal.

abc: 5.5935 5.5935 5.1758
angles: 90.00 90.00 90.00
Closest atoms and distances in Å follow each position.
Space group P4/mmm (No. 123)
Unique sites:
P (0.0000, 0.5000, 0.0000) x2  2 Pb 2.80
Pb (0.0000, 0.0000, 0.0000) x1  2 S 2.59, 4 P 2.80
S (0.0000, 0.0000, 0.5000) x1  2 Pb 2.59
Br (0.5000, 0.5000, 0.5000) x1  8 P 3.81, 4 S 3.96

Output
Fermi-level density of states in states/eV/f.u.: 6.6
Formation energy without anion corrections in meV per atom: 1211
E in eV per atom: -2.855
Distance to the lowest polymorph of the same formula in meV per atom: 0

=====

10.
Density functional theory data (PBE) for a relaxed Ho2TeH4 crystal.

abc: 3.8081 3.8081 22.4648
angles: 90.00 90.00 120.00
Closest atoms and distances in Å follow each position.
Space group R-3m (No. 166, hexagonal axes)
Unique sites:
Ho (0.0000, 0.0000, 0.2362) x6  7 H 2.20-2.38
Te (0.0000, 0.0000, 0.0000) x3  6 Ho 3.10, 8 H 3.10-3.18
H (0.0000, 0.0000, 0.1379) x6  4 Ho 2.21-2.38, 3 H 2.34
H (0.0000, 0.0000, 0.4356) x6  3 Ho 2.20, 3 H 2.34

Output
E in eV per atom: -4.501

=====

11.
Density functional theory data (PBE) for a relaxed NaBeHg2Bi crystal.

abc: 4.8904 4.8904 5.3092
angles: 90.00 90.00 90.00
Closest atoms and distances in Å follow each position.
Space group P4/mmm (No. 123)
Unique sites:
Na (0.0000, 0.0000, 0.0000) x1  4 Bi 3.46, 8 Hg 3.61
Be (0.5000, 0.5000, 0.5000) x1  4 Hg 2.45, 2 Bi 2.65
Hg (0.0000, 0.5000, 0.5000) x2  2 Be 2.45
Bi (0.5000, 0.5000, 0.0000) x1  2 Be 2.65

Output
Fermi-level density of states in states/eV/f.u.: 1.9
E in eV per atom: -1.826

=====

12.
Density functional theory data (PBE) for a relaxed SrLuAgPb crystal.

abc: 7.6851 7.6851 7.6851
angles: 90.00 90.00 90.00
Closest atoms and distances in Å follow each position.
Space group F-43m (No. 216)
Unique sites:
Sr (0.0000, 0.0000, 0.0000) x4  4 Ag 3.33, 4 Pb 3.33
Lu (0.0000, 0.0000, 0.5000) x4  4 Pb 3.33, 4 Ag 3.33
Ag (0.2500, 0.2500, 0.2500) x4  4 Lu 3.33, 4 Sr 3.33
Pb (0.2500, 0.2500, 0.7500) x4  4 Sr 3.33, 4 Lu 3.33

Output
Fermi-level density of states in states/eV/f.u.: 1.4
E in eV per atom: -3.540

=====

13.
Density functional theory data (PBE) for a relaxed Pm12NdEr3 crystal.

abc: 5.1272 5.1272 20.4690
angles: 90.00 90.00 90.00
Closest atoms and distances in Å follow each position.
Space group P4/mmm (No. 123)
Unique sites:
Pm (0.0000, 0.0000, 0.0000) x1  8 Pm 3.61, 4 Er 3.63
Pm (0.0000, 0.0000, 0.2479) x2  8 Pm 3.60-3.62, 4 Er 3.63
Pm (0.0000, 0.0000, 0.5000) x1  4 Nd 3.63, 8 Pm 3.65
Pm (0.0000, 0.5000, 0.1243) x4  8 Pm 3.60-3.63, 4 Er 3.61
Pm (0.0000, 0.5000, 0.3728) x4  2 Er 3.61, 8 Pm 3.62-3.65, 2 Nd 3.65
Nd (0.5000, 0.5000, 0.5000) x1  12 Pm 3.63-3.65
Er (0.5000, 0.5000, 0.0000) x1  12 Pm 3.61-3.63
Er (0.5000, 0.5000, 0.2484) x2  12 Pm 3.61-3.63

Output
Fermi-level density of states in states/eV/f.u.: 24.0
E in eV per atom: -4.701

=====

14.
Density functional theory data (PBE) for a relaxed KBa2Li3Bi4 crystal.

abc: 4.9297 4.9297 13.5065
angles: 90.00 90.00 90.00
Closest atoms and distances in Å follow each position.
Space group P-4m2 (No. 115)
Unique sites:
K (0.0000, 0.0000, 0.0000) x1  4 Bi 3.37, 4 Li 3.49
Ba (0.0000, 0.5000, 0.7257) x2  4 Li 3.75, 8 Bi 3.76-3.92
Li (0.0000, 0.5000, 0.3764) x2  5 Bi 2.79-2.98
Li (0.5000, 0.5000, 0.0000) x1  4 Bi 3.37, 4 K 3.49
Bi (0.0000, 0.0000, 0.5000) x1  4 Li 2.98
Bi (0.0000, 0.5000, 0.1697) x2  1 Li 2.79
Bi (0.5000, 0.5000, 0.5000) x1  4 Li 2.98

Output
Fermi-level density of states in states/eV/f.u.: 6.6
E in eV per atom: -3.208

=====

15.
Density functional theory data (PBE) for a relaxed SnHBr2 crystal.

abc: 4.1865 4.8958 6.7008
angles: 77.18 71.95 64.79
Closest atoms and distances in Å follow each position.
Space group P1 (No. 1)
Unique sites:
Sn (0.0000, 0.0000, 0.0000) x1  1 H 1.83
H (0.9158, 0.3510, 0.8209) x1  1 Sn 1.83
Br (0.2394, 0.3119, 0.2160) x1  3 Sn 2.92-3.21, 2 H 3.26
Br (0.7299, 0.8205, 0.7167) x1  1 H 2.12

Output
Fermi-level density of states in states/eV/f.u.: 1.7
E in eV per atom: -2.889

=====

16.
Density functional theory data (PBE) for a relaxed Ba5Na5Ir crystal.

abc: 6.1823 11.1707 15.9702
angles: 90.00 90.00 90.00
Closest atoms and distances in Å follow each position.
Space group Immm (No. 71)
Unique sites:
Ba (0.0000, 0.0000, 0.0000) x2  2 Ir 3.09
Ba (0.0000, 0.3086, 0.3620) x8  1 Ir 3.07
Na (0.0000, 0.0000, 0.2503) x4  3 Na 3.71-3.99, 3 Ba 3.88-4.00
Na (0.0000, 0.0000, 0.5000) x2  6 Na 3.65-3.99
Na (0.0000, 0.5000, 0.1217) x4  5 Na 3.65-3.89
Ir (0.0000, 0.5000, 0.5000) x2  6 Ba 3.07-3.09

Output
Fermi-level density of states in states/eV/f.u.: 10.0
E in eV per atom: -2.313

=====

17.
Density functional theory data (PBE) for a relaxed CeNdTc4 crystal.

abc: 7.7223 7.7223 7.7223
angles: 90.00 90.00 90.00
Closest atoms and distances in Å follow each position.
Space group F-43m (No. 216)
Unique sites:
Ce (0.0000, 0.0000, 0.0000) x4  12 Tc 3.20, 4 Nd 3.34
Nd (0.2500, 0.2500, 0.7500) x4  12 Tc 3.20, 4 Ce 3.34
Tc (0.1250, 0.1250, 0.3750) x16  6 Tc 2.73

Output
Fermi-level density of states in states/eV/f.u.: 14.0
E in eV per atom: -8.672

=====

18.
Density functional theory data (PBE) for a relaxed AgSbTe2H crystal.

abc: 5.5447 5.5447 5.3493
angles: 90.00 90.00 90.00
Closest atoms and distances in Å follow each position.
Space group P4/mmm (No. 123)
Unique sites:
Ag (0.0000, 0.0000, 0.0000) x1  2 Sb 2.67, 4 Te 2.77
Sb (0.0000, 0.0000, 0.5000) x1  2 Ag 2.67
Te (0.0000, 0.5000, 0.0000) x2  2 Ag 2.77
H (0.5000, 0.5000, 0.5000) x1  8 Te 3.85, 4 Sb 3.92

Output
Fermi-level density of states in states/eV/f.u.: 4.3
E in eV per atom: -2.346
Distance to the lowest polymorph of the same formula in meV per atom: 506

=====

19.
Density functional theory data (PBE) for a relaxed YSi2W crystal.

abc: 4.7270 4.7270 16.5166
angles: 90.00 90.00 90.00
Closest atoms and distances in Å follow each position.
Space group I-42d (No. 122)
Unique sites:
Y (0.0000, 0.0000, 0.0000) x4  8 Si 3.22-3.50, 4 W 3.34
Si (0.0425, 0.2500, 0.6250) x8  2 W 2.39, 2 Si 2.40
W (0.0000, 0.0000, 0.5000) x4  4 Si 2.39

Output
Fermi-level density of states in states/eV/f.u.: 3.9
Formation energy without anion corrections in meV per atom: 171
E in eV per atom: -7.395
Distance to the lowest polymorph of the same formula in meV per atom: 518

=====

20.
Density functional theory data (PBE) for a relaxed ScBeIr3 crystal.

abc: 4.1782 4.1782 4.1782
angles: 90.00 90.00 90.00
Closest atoms and distances in Å follow each position.
Space group Pm-3m (No. 221)
Unique sites:
Sc (0.0000, 0.0000, 0.0000) x1  12 Ir 2.95
Be (0.5000, 0.5000, 0.5000) x1  6 Ir 2.09
Ir (0.0000, 0.5000, 0.5000) x3  2 Be 2.09

Output
Fermi-level density of states in states/eV/f.u.: 1.7
E in eV per atom: -7.747
Distance to the lowest polymorph of the same formula in meV per atom: 0